[1]
# LaSc2HgH, relaxed, DFT PBE-GGA
# Size of the total moment   0.000 μB per atom
# D(E_F)   1.224 states/eV/atom
data_LaSc2HgH
_chemical_formula_sum 'La1 Sc2 Hg1 H1'
_cell_length_a 4.7048
_cell_length_b 4.7048
_cell_length_c 4.6762
_cell_angle_alpha 90.00
_cell_angle_beta 90.00
_cell_angle_gamma 90.00
_space_group_name_H-M_alt 'P 4/m m m'
_space_group_IT_number 123
_space_group_name_Hall '-P 4 2'
loop_
_atom_site_label
_atom_site_fract_x
_atom_site_fract_y
_atom_site_fract_z
La1 0.0000 0.0000 0.0000
Sc1 0.0000 0.5000 0.5000
Hg1 0.5000 0.5000 0.0000
H1 0.0000 0.0000 0.5000

***

[2]
# LaSnHgH2, relaxed, DFT PBE-GGA
# Size of the total moment   0.000 μB per atom
# D(E_F)   0.508 states/eV/atom
data_LaSnHgH2
_chemical_formula_sum 'La1 Sn1 Hg1 H2'
_cell_length_a 4.3541
_cell_length_b 4.3541
_cell_length_c 6.5717
_cell_angle_alpha 90.00
_cell_angle_beta 90.00
_cell_angle_gamma 90.00
_space_group_name_H-M_alt 'P 4/m m m'
_space_group_IT_number 123
_space_group_name_Hall '-P 4 2'
loop_
_atom_site_label
_atom_site_fract_x
_atom_site_fract_y
_atom_site_fract_z
La1 0.0000 0.0000 0.0000
Sn1 0.0000 0.0000 0.5000
Hg1 0.5000 0.5000 0.0000
H1 0.0000 0.5000 0.5000

***

[3]
# LaSn2HgH, relaxed, DFT PBE-GGA
# Size of the total moment   0.000 μB per atom
# D(E_F)   0.389 states/eV/atom
data_LaSn2HgH
_chemical_formula_sum 'La1 Sn2 Hg1 H1'
_cell_length_a 4.9403
_cell_length_b 4.9403
_cell_length_c 4.6078
_cell_angle_alpha 90.00
_cell_angle_beta 90.00
_cell_angle_gamma 90.00
_space_group_name_H-M_alt 'P 4/m m m'
_space_group_IT_number 123
_space_group_name_Hall '-P 4 2'
loop_
_atom_site_label
_atom_site_fract_x
_atom_site_fract_y
_atom_site_fract_z
La1 0.0000 0.0000 0.0000
Sn1 0.0000 0.5000 0.5000
Hg1 0.5000 0.5000 0.0000
H1 0.0000 0.0000 0.5000

***

[4]
# Sr2LaHgH, relaxed, DFT PBE-GGA
# Size of the total moment   0.182 μB per atom
# D(E_F)   1.151 states/eV/atom
data_Sr2LaHgH
_chemical_formula_sum 'Sr2 La1 Hg1 H1'
_cell_length_a 5.3274
_cell_length_b 5.3274
_cell_length_c 5.1011
_cell_angle_alpha 90.00
_cell_angle_beta 90.00
_cell_angle_gamma 90.00
_space_group_name_H-M_alt 'P 4/m m m'
_space_group_IT_number 123
_space_group_name_Hall '-P 4 2'
loop_
_atom_site_label
_atom_site_fract_x
_atom_site_fract_y
_atom_site_fract_z
Sr1 0.0000 0.5000 0.0000
La1 0.0000 0.0000 0.5000
Hg1 0.5000 0.5000 0.5000
H1 0.0000 0.0000 0.0000

***

[5]
# SrLa2HgH, relaxed, DFT PBE-GGA
# Size of the total moment   0.000 μB per atom
# D(E_F)   1.262 states/eV/atom
data_SrLa2HgH
_chemical_formula_sum 'Sr1 La2 Hg1 H1'
_cell_length_a 5.0293
_cell_length_b 5.0293
_cell_length_c 5.4220
_cell_angle_alpha 90.00
_cell_angle_beta 90.00
_cell_angle_gamma 90.00
_space_group_name_H-M_alt 'P 4/m m m'
_space_group_IT_number 123
_space_group_name_Hall '-P 4 2'
loop_
_atom_site_label
_atom_site_fract_x
_atom_site_fract_y
_atom_site_fract_z
Sr1 0.0000 0.0000 0.0000
La1 0.0000 0.5000 0.5000
Hg1 0.5000 0.5000 0.0000
H1 0.0000 0.0000 0.5000

***

[6]
# La2TiHgH, relaxed, DFT PBE-GGA
# Size of the total moment   0.608 μB per atom
# D(E_F)   1.013 states/eV/atom
data_La2TiHgH
_chemical_formula_sum 'La2 Ti1 Hg1 H1'
_cell_length_a 5.3784
_cell_length_b 5.3784
_cell_length_c 4.0101
_cell_angle_alpha 90.00
_cell_angle_beta 90.00
_cell_angle_gamma 90.00
_space_group_name_H-M_alt 'P 4/m m m'
_space_group_IT_number 123
_space_group_name_Hall '-P 4 2'
loop_
_atom_site_label
_atom_site_fract_x
_atom_site_fract_y
_atom_site_fract_z
La1 0.0000 0.5000 0.0000
Ti1 0.0000 0.0000 0.5000
Hg1 0.5000 0.5000 0.5000
H1 0.0000 0.0000 0.0000

***

[7]
# LaTiHgH2, relaxed, DFT PBE-GGA
# Size of the total moment   0.000 μB per atom
# D(E_F)   1.099 states/eV/atom
data_LaTiHgH2
_chemical_formula_sum 'La1 Ti1 Hg1 H2'
_cell_length_a 4.1959
_cell_length_b 4.1959
_cell_length_c 6.3371
_cell_angle_alpha 90.00
_cell_angle_beta 90.00
_cell_angle_gamma 90.00
_space_group_name_H-M_alt 'P 4/m m m'
_space_group_IT_number 123
_space_group_name_Hall '-P 4 2'
loop_
_atom_site_label
_atom_site_fract_x
_atom_site_fract_y
_atom_site_fract_z
La1 0.0000 0.0000 0.0000
Ti1 0.5000 0.5000 0.5000
Hg1 0.0000 0.0000 0.5000
H1 0.0000 0.5000 0.0000

***

[8]
# LaTlHg2H, relaxed, DFT PBE-GGA
# Size of the total moment   0.000 μB per atom
# D(E_F)   0.326 states/eV/atom
data_LaTlHg2H
_chemical_formula_sum 'La1 Tl1 Hg2 H1'
_cell_length_a 5.1075
_cell_length_b 5.1075
_cell_length_c 4.4591
_cell_angle_alpha 90.00
_cell_angle_beta 90.00
_cell_angle_gamma 90.00
_space_group_name_H-M_alt 'P 4/m m m'
_space_group_IT_number 123
_space_group_name_Hall '-P 4 2'
loop_
_atom_site_label
_atom_site_fract_x
_atom_site_fract_y
_atom_site_fract_z
La1 0.0000 0.0000 0.0000
Tl1 0.5000 0.5000 0.0000
Hg1 0.0000 0.5000 0.5000
H1 0.0000 0.0000 0.5000

***

[9]
# La2TlHgH, relaxed, DFT PBE-GGA
# Relative energy among the computed polymorphs   0.0 meV per atom
# Size of the total moment   0.000 μB per atom
# D(E_F)   0.635 states/eV/atom
data_La2TlHgH
_chemical_formula_sum 'La2 Tl1 Hg1 H1'
_cell_length_a 5.0541
_cell_length_b 5.0541
_cell_length_c 4.7247
_cell_angle_alpha 90.00
_cell_angle_beta 90.00
_cell_angle_gamma 90.00
_space_group_name_H-M_alt 'P 4/m m m'
_space_group_IT_number 123
_space_group_name_Hall '-P 4 2'
loop_
_atom_site_label
_atom_site_fract_x
_atom_site_fract_y
_atom_site_fract_z
La1 0.0000 0.5000 0.0000
Tl1 0.0000 0.0000 0.5000
Hg1 0.5000 0.5000 0.5000
H1 0.5000 0.5000 0.0000

***

[10]
# LaVHg2H, relaxed, DFT PBE-GGA
# Relative energy among the computed polymorphs   0.0 meV per atom
# Size of the total moment   0.000 μB per atom
# D(E_F)   1.146 states/eV/atom
data_LaVHg2H
_chemical_formula_sum 'La1 V1 Hg2 H1'
_cell_length_a 4.7176
_cell_length_b 4.7176
_cell_length_c 4.4212
_cell_angle_alpha 90.00
_cell_angle_beta 90.00
_cell_angle_gamma 90.00
_space_group_name_H-M_alt 'P 4/m m m'
_space_group_IT_number 123
_space_group_name_Hall '-P 4 2'
loop_
_atom_site_label
_atom_site_fract_x
_atom_site_fract_y
_atom_site_fract_z
La1 0.0000 0.0000 0.0000
V1 0.5000 0.5000 0.0000
Hg1 0.0000 0.5000 0.5000
H1 0.0000 0.0000 0.5000

***

[11]
# LaVHg2H, relaxed, DFT PBE-GGA
# Relative energy among the computed polymorphs   390.1 meV per atom
# Size of the total moment   0.634 μB per atom
# D(E_F)   1.051 states/eV/atom
data_LaVHg2H
_chemical_formula_sum 'La1 V1 Hg2 H1'
_cell_length_a 5.2220
_cell_length_b 5.2220
_cell_length_c 5.3117
_cell_angle_alpha 90.00
_cell_angle_beta 90.00
_cell_angle_gamma 90.00
_space_group_name_H-M_alt 'P 4/m m m'
_space_group_IT_number 123
_space_group_name_Hall '-P 4 2'
loop_
_atom_site_label
_atom_site_fract_x
_atom_site_fract_y
_atom_site_fract_z
La1 0.0000 0.0000 0.0000
V1 0.0000 0.0000 0.5000
Hg1 0.0000 0.5000 0.5000
H1 0.5000 0.5000 0.0000

***

[12]
# LaY2HgH, relaxed, DFT PBE-GGA
# Size of the total moment   0.000 μB per atom
# D(E_F)   1.453 states/eV/atom
data_LaY2HgH
_chemical_formula_sum 'La1 Y2 Hg1 H1'
_cell_length_a 4.9544
_cell_length_b 4.9544
_cell_length_c 4.8348
_cell_angle_alpha 90.00
_cell_angle_beta 90.00
_cell_angle_gamma 90.00
_space_group_name_H-M_alt 'P 4/m m m'
_space_group_IT_number 123
_space_group_name_Hall '-P 4 2'
loop_
_atom_site_label
_atom_site_fract_x
_atom_site_fract_y
_atom_site_fract_z
La1 0.0000 0.0000 0.0000
Y1 0.0000 0.5000 0.5000
Hg1 0.5000 0.5000 0.0000
H1 0.0000 0.0000 0.5000

***

no.,E_tot (eV per formula unit)
1,-22.6
2,-14.3
3,-18.1
4,-13.0
5,-16.3
6,-22.3
7,-17.9
8,-12.6
9,-17.8
10,-16.5
11,-14.6
12,-22.9